[1]
An optimized crystal structure of Pr2Dy3Er3, computed with PBE.

Properties
DFT formation energy ... 1.2 eV/f.u.
Spin magnetization ... 0.00 μB per atom
Total DFT energy (no corrections) ... -71.80 eV for the cell shown

The structure in POSCAR format:
```
Pr2Dy3Er3
1.0
2.793 -5.921 0.000
2.793 5.921 0.000
0.000 0.000 16.023
Pr Dy Er
4 6 6
direct
0.219 0.781 0.628
0.219 0.781 0.872
0.781 0.219 0.128
0.781 0.219 0.372
0.386 0.614 0.052
0.386 0.614 0.448
0.459 0.541 0.750
0.541 0.459 0.250
0.614 0.386 0.552
0.614 0.386 0.948
0.082 0.918 0.087
0.082 0.918 0.413
0.259 0.741 0.250
0.741 0.259 0.750
0.918 0.082 0.587
0.918 0.082 0.913
```

***

[2]
An optimized crystal structure of HgC2SeBr, computed with PBE.

Properties
Spin magnetization ... 0.07 μB per atom
Total DFT energy (no corrections) ... -13.98 eV for the cell shown
Raw formation energy ... 1.985 eV/atom

The structure in POSCAR format:
```
HgC2SeBr
1.0
3.970 0.000 0.000
0.000 3.970 0.000
0.000 0.000 7.857
Hg C Se Br
1 2 1 1
direct
0.000 0.000 0.000
0.000 0.500 0.500
0.500 0.000 0.500
0.000 0.000 0.500
0.500 0.500 0.000
```

***

[3]
An optimized crystal structure of Ca2ZnInF, computed with PBE.

Properties
Spin magnetization ... 0.00 μB per atom
Total DFT energy (no corrections) ... -12.23 eV for the cell shown
Raw formation energy ... -0.469 eV/atom

The structure in POSCAR format:
```
Ca2ZnInF
1.0
6.021 0.000 0.000
0.000 6.021 0.000
0.000 0.000 4.867
Ca Zn In F
2 1 1 1
direct
0.000 0.500 0.000
0.500 0.000 0.000
0.000 0.000 0.500
0.000 0.000 0.000
0.500 0.500 0.500
```

***

[4]
An optimized crystal structure of DyTlSn, computed with PBE.

Properties
DFT formation energy ... -0.9 eV/f.u.
Spin magnetization ... 0.00 μB per atom
Total DFT energy (no corrections) ... -23.72 eV for the cell shown

The structure in POSCAR format:
```
DyTlSn
1.0
3.094 -3.123 0.000
3.094 3.123 0.000
-0.700 0.000 9.205
Dy Tl Sn
2 2 2
direct
0.177 0.177 0.188
0.823 0.823 0.812
0.259 0.259 0.550
0.741 0.741 0.450
0.326 0.326 0.870
0.674 0.674 0.130
```

***

[5]
An optimized crystal structure of LiMgPb, computed with PBE.

Properties
DFT formation energy ... -0.2 eV/f.u.
Spin magnetization ... 0.00 μB per atom
Total DFT energy (no corrections) ... -7.45 eV for the cell shown

The structure in POSCAR format:
```
LiMgPb
1.0
0.000 2.656 7.061
1.929 0.000 7.061
1.929 2.656 0.000
Li Mg Pb
1 1 1
direct
0.000 0.000 0.000
0.338 0.338 0.662
0.661 0.661 0.339
```

***

[6]
An optimized crystal structure of ZnWC2N, computed with PBE.

Properties
Spin magnetization ... 0.52 μB per atom
Total DFT energy (no corrections) ... -29.36 eV for the cell shown
Raw formation energy ... 2.329 eV/atom

The structure in POSCAR format:
```
ZnWC2N
1.0
4.006 0.000 0.000
0.000 4.006 0.000
0.000 0.000 5.295
Zn W C N
1 1 2 1
direct
0.000 0.000 0.000
0.000 0.000 0.500
0.000 0.500 0.500
0.500 0.000 0.500
0.500 0.500 0.000
```

***

[7]
An optimized crystal structure of Ti5Ge4Mo, computed with PBE.

Properties
DFT formation energy ... -3.2 eV/f.u.
Spin magnetization ... 0.00 μB per atom
Total DFT energy (no corrections) ... -144.00 eV for the cell shown

The structure in POSCAR format:
```
Ti5Ge4Mo
1.0
8.530 0.000 0.000
0.000 10.274 0.000
0.000 0.000 3.878
Ti Ge Mo
10 8 2
direct
0.061 0.096 0.249
0.061 0.404 0.249
0.250 0.250 0.749
0.439 0.096 0.249
0.439 0.404 0.249
0.561 0.596 0.751
0.561 0.904 0.751
0.750 0.750 0.251
0.939 0.596 0.751
0.939 0.904 0.751
0.053 0.750 0.251
0.250 0.501 0.749
0.250 0.999 0.749
0.447 0.750 0.251
0.553 0.250 0.749
0.750 0.001 0.251
0.750 0.499 0.251
0.947 0.250 0.749
0.250 0.750 0.751
0.750 0.250 0.249
```

***

[8]
An optimized crystal structure of TaNi2N, computed with PBE.

Properties
Spin magnetization ... 0.00 μB per atom
Total DFT energy (no corrections) ... -59.93 eV for the cell shown
Raw formation energy ... 0.444 eV/atom

The structure in POSCAR format:
```
TaNi2N
1.0
-2.755 2.755 3.437
2.755 -2.755 3.437
2.755 2.755 -3.437
Ta Ni N
2 4 2
direct
0.000 0.000 0.000
0.750 0.250 0.500
0.240 0.625 0.115
0.375 0.490 0.615
0.510 0.125 0.885
0.875 0.760 0.385
0.250 0.750 0.500
0.500 0.500 0.000
```

***

[9]
An optimized crystal structure of Ba2AlHg4Pb2, computed with PBE.

Properties
DFT formation energy ... -2.9 eV/f.u.
Spin magnetization ... 0.00 μB per atom
Total DFT energy (no corrections) ... -19.12 eV for the cell shown

The structure in POSCAR format:
```
Ba2AlHg4Pb2
1.0
-3.657 3.657 5.167
3.657 -3.657 5.167
3.657 3.657 -5.167
Ba Al Hg Pb
2 1 4 2
direct
0.250 0.750 0.500
0.750 0.250 0.500
0.000 0.000 0.000
0.266 0.266 0.531
0.266 0.734 0.000
0.734 0.266 0.000
0.734 0.734 0.469
0.302 0.302 0.000
0.698 0.698 0.000
```

***

[10]
An optimized crystal structure of KTa4In, computed with PBE.

Properties
DFT formation energy ... 5.4 eV/f.u.
Spin magnetization ... 0.00 μB per atom
Total DFT energy (no corrections) ... -45.87 eV for the cell shown

The structure in POSCAR format:
```
KTa4In
1.0
0.000 4.044 4.044
4.044 0.000 4.044
4.044 4.044 0.000
K Ta In
1 4 1
direct
0.000 0.000 0.000
0.117 0.628 0.628
0.628 0.117 0.628
0.628 0.628 0.117
0.628 0.628 0.628
0.250 0.250 0.250
```

***

[11]
An optimized crystal structure of Th6Ir2OsPt3, computed with PBE.

Properties
DFT formation energy ... -12.1 eV/f.u.
Spin magnetization ... 0.00 μB per atom
Total DFT energy (no corrections) ... -103.70 eV for the cell shown

The structure in POSCAR format:
```
Th6Ir2OsPt3
1.0
9.070 -2.079 0.000
9.070 2.079 0.000
-1.927 0.000 8.112
Th Ir Os Pt
6 2 1 3
direct
0.002 0.002 0.240
0.331 0.331 0.422
0.338 0.338 0.912
0.662 0.662 0.088
0.669 0.669 0.578
0.998 0.998 0.760
0.167 0.167 0.335
0.833 0.833 0.665
0.500 0.500 0.000
0.168 0.168 0.833
0.500 0.500 0.500
0.832 0.832 0.167
```

***

[12]
An optimized crystal structure of Ca2PdI, computed with PBE.

Properties
Spin magnetization ... 0.00 μB per atom
Total DFT energy (no corrections) ... -13.21 eV for the cell shown
Raw formation energy ... -0.617 eV/atom

The structure in POSCAR format:
```
Ca2PdI
1.0
0.000 3.804 3.804
3.804 0.000 3.804
3.804 3.804 0.000
Ca Pd I
2 1 1
direct
0.250 0.250 0.250
0.750 0.750 0.750
0.000 0.000 0.000
0.500 0.500 0.500
```

***

[13]
An optimized crystal structure of KAlS2, computed with PBE.

Properties
Spin magnetization ... 0.00 μB per atom
Total DFT energy (no corrections) ... -13.73 eV for the cell shown
Raw formation energy ... -0.160 eV/atom

The structure in POSCAR format:
```
KAlS2
1.0
4.798 0.000 0.000
0.000 4.798 0.000
0.000 0.000 3.519
K Al S
1 1 2
direct
0.000 0.000 0.000
0.500 0.500 0.000
0.000 0.500 0.500
0.500 0.000 0.500
```

***

[14]
An optimized crystal structure of TmSnSe2O, computed with PBE.

Properties
Spin magnetization ... 0.00 μB per atom
Total DFT energy (no corrections) ... -58.05 eV for the cell shown
Raw formation energy ... -1.725 eV/atom

The structure in POSCAR format:
```
TmSnSe2O
1.0
3.859 0.000 0.000
0.000 3.859 0.000
0.000 0.000 15.517
Tm Sn Se O
2 2 4 2
direct
0.250 0.250 0.071
0.750 0.750 0.929
0.250 0.250 0.661
0.750 0.750 0.339
0.250 0.250 0.390
0.250 0.250 0.827
0.750 0.750 0.173
0.750 0.750 0.610
0.250 0.750 0.000
0.750 0.250 0.000
```

***

[15]
An optimized crystal structure of AcDy2Tm, computed with PBE.

Properties
DFT formation energy ... 0.3 eV/f.u.
Spin magnetization ... 0.00 μB per atom
Total DFT energy (no corrections) ... -17.50 eV for the cell shown

The structure in POSCAR format:
```
AcDy2Tm
1.0
1.834 1.059 11.747
-1.834 1.059 11.747
0.000 -2.117 11.747
Ac Dy Tm
1 2 1
direct
0.000 0.000 0.000
0.578 0.578 0.578
0.754 0.754 0.754
0.166 0.166 0.166
```

***

[16]
An optimized crystal structure of BaAc2Pd, computed with PBE.

Properties
DFT formation energy ... -1.2 eV/f.u.
Spin magnetization ... 0.00 μB per atom
Total DFT energy (no corrections) ... -16.52 eV for the cell shown

The structure in POSCAR format:
```
BaAc2Pd
1.0
3.910 0.000 0.000
0.000 3.910 0.000
0.000 0.000 10.425
Ba Ac Pd
1 2 1
direct
0.000 0.000 0.000
0.500 0.500 0.330
0.500 0.500 0.670
0.000 0.000 0.500
```

***

[17]
An optimized crystal structure of Rb3Pm3TeS8, computed with PBE.

Properties
Spin magnetization ... 0.00 μB per atom
Total DFT energy (no corrections) ... -75.29 eV for the cell shown
Raw formation energy ... -1.465 eV/atom

The structure in POSCAR format:
```
Rb3Pm3TeS8
1.0
4.125 2.382 7.832
-4.125 2.382 7.832
0.000 -4.764 7.832
Rb Pm Te S
3 3 1 8
direct
0.000 0.500 0.500
0.500 0.000 0.500
0.500 0.500 0.000
0.000 0.000 0.500
0.000 0.500 0.000
0.500 0.000 0.000
0.500 0.500 0.500
0.232 0.232 0.232
0.245 0.722 0.722
0.278 0.278 0.755
0.278 0.755 0.278
0.722 0.245 0.722
0.722 0.722 0.245
0.755 0.278 0.278
0.768 0.768 0.768
```

***

[18]
An optimized crystal structure of DyHfMg, computed with PBE.

Properties
DFT formation energy ... 0.6 eV/f.u.
Spin magnetization ... 0.00 μB per atom
Total DFT energy (no corrections) ... -31.16 eV for the cell shown

The structure in POSCAR format:
```
DyHfMg
1.0
-1.852 1.852 12.628
1.852 -1.852 12.628
1.852 1.852 -12.628
Dy Hf Mg
2 2 2
direct
0.147 0.147 0.000
0.853 0.853 0.000
0.276 0.276 0.000
0.724 0.724 0.000
0.441 0.441 0.000
0.559 0.559 0.000
```

***

[19]
An optimized crystal structure of Sr3TlCr, computed with PBE.

Properties
DFT formation energy ... 2.5 eV/f.u.
Spin magnetization ... 0.98 μB per atom
Total DFT energy (no corrections) ... -14.56 eV for the cell shown

The structure in POSCAR format:
```
Sr3TlCr
1.0
6.329 0.000 0.000
0.000 6.329 0.000
0.000 0.000 6.329
Sr Tl Cr
3 1 1
direct
0.000 0.000 0.500
0.000 0.500 0.000
0.500 0.000 0.000
0.000 0.000 0.000
0.500 0.500 0.500
```

***

[20]
An optimized crystal structure of VBrCl6, computed with PBE.

Properties
Spin magnetization ... 0.25 μB per atom
Total DFT energy (no corrections) ... -25.56 eV for the cell shown
Raw formation energy ... -0.460 eV/atom

The structure in POSCAR format:
```
VBrCl6
1.0
5.101 0.000 0.000
2.173 6.617 0.000
2.465 0.147 7.061
V Br Cl
1 1 6
direct
0.000 0.000 0.000
0.500 0.000 0.000
0.033 0.249 0.755
0.201 0.762 0.754
0.385 0.495 0.241
0.615 0.505 0.759
0.799 0.238 0.246
0.967 0.751 0.245
```

***

[21]
An optimized crystal structure of SnBiO2F, computed with PBE.

Properties
Spin magnetization ... 0.00 μB per atom
Total DFT energy (no corrections) ... -55.25 eV for the cell shown
Raw formation energy ... -1.591 eV/atom

The structure in POSCAR format:
```
SnBiO2F
1.0
6.616 0.000 0.000
0.000 3.814 0.000
-3.103 0.000 7.403
Sn Bi O F
2 2 4 2
direct
0.249 0.250 0.450
0.751 0.750 0.550
0.257 0.750 0.058
0.743 0.250 0.942
0.113 0.250 0.139
0.384 0.750 0.375
0.616 0.250 0.625
0.887 0.750 0.861
0.329 0.250 0.880
0.671 0.750 0.120
```

***

[22]
An optimized crystal structure of Ac6Sb3PbSe2, computed with PBE.

Properties
Spin magnetization ... 0.00 μB per atom
Total DFT energy (no corrections) ... -63.62 eV for the cell shown
Raw formation energy ... -1.327 eV/atom

The structure in POSCAR format:
```
Ac6Sb3PbSe2
1.0
10.264 -2.362 0.000
10.264 2.362 0.000
-2.149 0.000 9.172
Ac Sb Pb Se
6 3 1 2
direct
0.003 0.003 0.252
0.332 0.332 0.420
0.333 0.333 0.915
0.667 0.667 0.085
0.668 0.668 0.580
0.997 0.997 0.748
0.167 0.167 0.829
0.500 0.500 0.500
0.833 0.833 0.171
0.500 0.500 0.000
0.170 0.170 0.338
0.830 0.830 0.662
```

***

[23]
An optimized crystal structure of FeAsP, computed with PBE.

Properties
DFT formation energy ... -0.1 eV/f.u.
Spin magnetization ... 0.15 μB per atom
Total DFT energy (no corrections) ... -18.58 eV for the cell shown

The structure in POSCAR format:
```
FeAsP
1.0
-1.393 1.393 5.771
1.393 -1.393 5.771
1.393 1.393 -5.771
Fe As P
1 1 1
direct
0.000 0.000 0.000
0.643 0.643 0.000
0.390 0.390 0.000
```

***

[24]
An optimized crystal structure of BaCaMo, computed with PBE.

Properties
DFT formation energy ... 4.8 eV/f.u.
Spin magnetization ... 1.17 μB per atom
Total DFT energy (no corrections) ... -9.92 eV for the cell shown

The structure in POSCAR format:
```
BaCaMo
1.0
0.000 3.858 3.858
3.858 0.000 3.858
3.858 3.858 0.000
Ba Ca Mo
1 1 1
direct
0.000 0.000 0.000
0.250 0.250 0.250
0.750 0.750 0.750
```

***

[25]
An optimized crystal structure of KMg2SnIr, computed with PBE.

Properties
DFT formation energy ... -1.2 eV/f.u.
Spin magnetization ... 0.00 μB per atom
Total DFT energy (no corrections) ... -18.32 eV for the cell shown

The structure in POSCAR format:
```
KMg2SnIr
1.0
5.194 0.000 0.000
0.000 5.194 0.000
0.000 0.000 5.085
K Mg Sn Ir
1 2 1 1
direct
0.000 0.000 0.000
0.000 0.500 0.500
0.500 0.000 0.500
0.500 0.500 0.000
0.500 0.500 0.500
```

***

Per-record mass density, g cm⁻³: 8.0, 5.1, 2.6, 9.1, 5.5, 5.6, 6.1, 9.9, 9.1, 11.0, 13.9, 4.7, 2.7, 6.6, 8.7, 7.3, 3.9, 7.0, 3.4, 2.4, 6.7, 7.8, 6.0, 4.0, 4.8